TcIr2Br | Alexandria | PBE | optimized geometry; relative energy among the computed polymorphs = 0.043 eV/atom
1.0
-2.0154 -0.4835 -1.9227
1.9811 -0.3851 -1.9798
0.2233 -8.0358 1.7867
Ir Tc Br
2 1 1
direct
0.0000 0.0000 0.4670
0.0000 0.0000 0.0330
0.5000 0.5000 0.2500
0.5000 0.5000 0.7500



TcIr2Br | Alexandria | PBE | optimized geometry; relative energy among the computed polymorphs = 0.000 eV/atom
1.0
-1.5172 -1.6059 9.9081
-3.0941 -3.7101 8.9282
-0.3357 -4.0754 9.2914
Br Tc Ir
1 1 2
direct
0.2500 0.2500 0.2500
0.7500 0.7500 0.7500
0.0137 0.0137 0.0137
0.4863 0.4863 0.4863



TeIrBr3 | Alexandria | PBE | optimized geometry; relative energy among the computed polymorphs = 0.000 eV/atom
1.0
7.3487 0.0000 0.2846
0.0000 8.6045 0.0000
-0.7202 0.0000 12.7163
Br Te Ir
12 4 4
direct
0.8851 0.6496 0.4405
0.1149 0.3504 0.5595
0.7794 0.5796 0.7171
0.2206 0.5796 0.7829
0.3415 0.7302 0.5197
0.7794 0.4204 0.2171
0.6585 0.7302 0.9803
0.6585 0.2698 0.4803
0.1149 0.6496 0.0595
0.3415 0.2698 0.0197
0.8851 0.3504 0.9405
0.2206 0.4204 0.2829
0.9539 0.9264 0.8514
0.0461 0.9264 0.6486
0.0461 0.0736 0.1486
0.9539 0.0736 0.3514
0.9395 0.6390 0.8882
0.0605 0.6390 0.6118
0.9395 0.3610 0.3882
0.0605 0.3610 0.1118



TeIr3Br | Alexandria | PBE | optimized geometry; relative energy among the computed polymorphs = 0.000 eV/atom
1.0
4.6963 0.0000 0.0000
0.0000 4.6963 0.0000
0.0000 0.0000 4.6963
Ir Br Te
3 1 1
direct
0.5000 0.0000 0.0000
0.0000 0.0000 0.5000
0.0000 0.5000 0.0000
0.0000 0.0000 0.0000
0.5000 0.5000 0.5000



Te3IrBr | Alexandria | PBE | optimized geometry; relative energy among the computed polymorphs = 1.281 eV/atom
1.0
-4.0764 1.0713 3.4322
-3.4001 -2.8358 -3.1531
1.1692 -4.5117 2.7969
Te Ir Br
3 1 1
direct
0.5000 0.0000 0.0000
0.0000 0.0000 0.5000
0.0000 0.5000 0.0000
0.5000 0.5000 0.5000
0.0000 0.0000 0.0000



TeIrBr3 | Alexandria | PBE | optimized geometry; relative energy among the computed polymorphs = 0.630 eV/atom
1.0
5.0760 0.0000 0.0000
0.0000 5.0760 0.0000
0.0000 0.0000 5.0760
Ir Br Te
1 3 1
direct
0.0000 0.0000 0.0000
0.5000 0.0000 0.0000
0.0000 0.5000 0.0000
0.0000 0.0000 0.5000
0.5000 0.5000 0.5000



The following is a DFT calculation (PBE) of a relaxed structure of TeIrBr4.

The structure in POSCAR format:
```
TeIrBr4
1.0
0.9519 -3.9505 -4.4868
0.8302 -5.8634 1.2551
-4.2756 -4.0375 -1.4358
Ir Br Te
1 4 1
direct
0.7500 0.7500 0.7500
0.3757 0.3757 0.3757
0.3757 0.3757 0.8728
0.3757 0.8728 0.3757
0.8728 0.3757 0.3757
0.0000 0.0000 0.0000
```



TeIr3Br | Alexandria | PBE | optimized geometry; relative energy among the computed polymorphs = 0.032 eV/atom
1.0
4.9361 0.0000 0.0000
0.0000 4.9361 0.0000
0.0000 0.0000 4.9361
Ir Br Te
3 1 1
direct
0.0000 0.5000 0.0000
0.0000 0.0000 0.5000
0.5000 0.0000 0.0000
0.5000 0.5000 0.5000
0.0000 0.0000 0.0000



Te3IrBr | Alexandria | PBE | optimized geometry; relative energy among the computed polymorphs = 0.000 eV/atom
1.0
-1.8895 -4.2281 2.5465
2.7029 1.3951 4.3220
-4.1298 2.8475 1.6635
Te Br Ir
3 1 1
direct
0.0000 0.5000 0.0000
0.0000 0.0000 0.5000
0.5000 0.0000 0.0000
0.5000 0.5000 0.5000
0.0000 0.0000 0.0000



The following is a DFT calculation (PBE) of a relaxed structure of TlTeIrBr2.

The structure in POSCAR format:
```
TlTeIrBr2
1.0
4.9763 0.0000 0.0000
0.0000 5.7014 0.0000
0.0000 0.0000 4.9763
Br Te Tl Ir
2 1 1 1
direct
0.5000 0.0000 0.0000
0.0000 0.0000 0.5000
0.5000 0.5000 0.5000
0.0000 0.5000 0.0000
0.0000 0.0000 0.0000
```



The following is a DFT calculation (PBE) of a relaxed structure of TeIrWBr2.

The structure in POSCAR format:
```
TeIrWBr2
1.0
-2.3236 4.3122 0.9496
-2.8322 -0.5897 -4.2526
-3.4565 -2.4441 2.6410
Br Te W Ir
2 1 1 1
direct
0.5000 0.0000 0.0000
0.0000 0.0000 0.5000
0.5000 0.5000 0.5000
0.0000 0.5000 0.0000
0.0000 0.0000 0.0000
```



The following is a DFT calculation (PBE) of a relaxed structure of ZnTeIr2Br.

The structure in POSCAR format:
```
ZnTeIr2Br
1.0
-1.5558 -1.5240 4.4933
3.5700 -3.8899 -0.0832
3.3340 3.0133 2.1764
Br Ir Zn Te
1 2 1 1
direct
0.5000 0.5000 0.5000
0.5000 0.0000 0.0000
0.0000 0.0000 0.5000
0.0000 0.5000 0.0000
0.0000 0.0000 0.0000
```



N(E_F) values, unit states/eV per atom, following the record order: 0.8602, 1.1287, 0.0392, 1.6416, 1.2502, 1.0635, 1.9543, 1.6205, 1.3920, 1.3046, 0.9016, 0.7416.
Energy relative to the elements, uncorrected values, unit kJ per mole of atoms, following the record order: 48.7, 44.6, -18.0, 174.0, 167.0, 42.7, 140.3, 177.2, 43.4, 34.2, 114.2, 126.3.